A plane-wave DFT calculation with PBE with a Hubbard U was carried out for LaFeO2 after structural relaxation.

E_tot	-24.5	eV per cell
M_tot	0.02	μB per cell
symmetry	R-3m, No. 166

a = 6.5927 Å, b = 6.5927 Å, c = 6.5927 Å
α = 29.66°, β = 29.66°, γ = 29.66°
Closest atoms and distances in Å follow each position.
Sites, in units of the cell vectors:
La (0.0000, 0.0000, 0.0000)  2 O 2.16
Fe (0.5000, 0.5000, 0.5000)  6 O 2.18
O (0.1144, 0.1144, 0.1144)  1 La 2.16, 3 Fe 2.18
O (0.8856, 0.8856, 0.8856)  1 La 2.16, 3 Fe 2.18